(1)
Density functional theory data (PBE) for a relaxed Cs2LiTl crystal.

The structure in CIF format:
```
data_Cs2LiTl
_cell_length_a 4.3188
_cell_length_b 4.3188
_cell_length_c 42.5365
_cell_angle_alpha 90.00
_cell_angle_beta 90.00
_cell_angle_gamma 120.00
_space_group_name_H-M_alt 'R -3 m'
_space_group_IT_number 166
_space_group_name_Hall '-R 3 2"'
loop_
_atom_site_label
_atom_site_fract_x
_atom_site_fract_y
_atom_site_fract_z
Cs1 0.0000 0.0000 0.0885
Li1 0.0000 0.0000 0.5000
Tl1 0.0000 0.0000 0.0000
```

Properties
V, Å³ per cell: 687.1
Energy of formation, eV/f.u.: 1.335
Total moment, μB per formula unit: 0.00

---

(2)
Density functional theory data (PBE) for a relaxed Tb2Dy4Y5 crystal.

The structure in CIF format:
```
data_Tb2Dy4Y5
_cell_length_a 16.523
_cell_length_b 6.671
_cell_length_c 6.625
_cell_angle_alpha 90.00
_cell_angle_beta 99.41
_cell_angle_gamma 90.00
_space_group_name_H-M_alt 'C 1 2/m 1'
_space_group_IT_number 12
_space_group_name_Hall '-C 2y'
loop_
_atom_site_label
_atom_site_fract_x
_atom_site_fract_y
_atom_site_fract_z
Tb1 0.203 0.000 0.299
Dy1 0.088 0.500 0.405
Dy2 0.244 0.000 0.806
Y1 0.000 0.000 0.500
Y2 0.090 0.262 0.908
```

Properties
V, Å³ per cell: 720.3
Energy of formation, eV/f.u.: 1.949
Total moment, μB per formula unit: 0.00

---

(3)
Density functional theory data (PBE) for a relaxed SiW4Se crystal.

The structure in CIF format:
```
data_SiW4Se
_cell_length_a 7.490
_cell_length_b 7.490
_cell_length_c 7.490
_cell_angle_alpha 90.00
_cell_angle_beta 90.00
_cell_angle_gamma 90.00
_space_group_name_H-M_alt 'F -4 3 m'
_space_group_IT_number 216
_space_group_name_Hall 'F -4 2 3'
loop_
_atom_site_label
_atom_site_fract_x
_atom_site_fract_y
_atom_site_fract_z
Si1 0.000 0.000 0.000
W1 0.124 0.124 0.624
Se1 0.250 0.250 0.250
```

Properties
Formation energy from raw total energies, meV per atom: 915
V, Å³ per cell: 420.2
Total moment, μB per formula unit: 0.00

---

(4)
Density functional theory data (PBE) for a relaxed MnGaIrPt crystal.

The structure in CIF format:
```
data_MnGaIrPt
_cell_length_a 4.083
_cell_length_b 4.083
_cell_length_c 6.963
_cell_angle_alpha 90.00
_cell_angle_beta 90.00
_cell_angle_gamma 90.00
_space_group_name_H-M_alt 'I -4 m 2'
_space_group_IT_number 119
_space_group_name_Hall 'I -4 -2'
loop_
_atom_site_label
_atom_site_fract_x
_atom_site_fract_y
_atom_site_fract_z
Mn1 0.000 0.000 0.000
Ga1 0.000 0.000 0.500
Ir1 0.000 0.500 0.250
Pt1 0.000 0.500 0.750
```

Properties
V, Å³ per cell: 116.1
Energy of formation, eV/f.u.: -1.730
Total moment, μB per formula unit: 4.03

---

(5)
Density functional theory data (PBE) for a relaxed AcUSe3 crystal.

The structure in CIF format:
```
data_AcUSe3
_cell_length_a 7.101
_cell_length_b 16.433
_cell_length_c 5.422
_cell_angle_alpha 90.00
_cell_angle_beta 90.00
_cell_angle_gamma 90.00
_space_group_name_H-M_alt 'C m m m'
_space_group_IT_number 65
_space_group_name_Hall '-C 2 2'
loop_
_atom_site_label
_atom_site_fract_x
_atom_site_fract_y
_atom_site_fract_z
Ac1 0.000 0.171 0.000
U1 0.000 0.384 0.500
Se1 0.000 0.357 0.000
Se2 0.218 0.000 0.500
Se3 0.250 0.250 0.500
```

Properties
Formation energy from raw total energies, meV per atom: -1248
V, Å³ per cell: 632.7
Total moment, μB per formula unit: 3.00

---

(6)
Density functional theory data (PBE) for a relaxed SrAlZn2Pt crystal.

The structure in CIF format:
```
data_SrAlZn2Pt
_cell_length_a 4.186
_cell_length_b 4.427
_cell_length_c 11.143
_cell_angle_alpha 90.00
_cell_angle_beta 90.00
_cell_angle_gamma 90.00
_space_group_name_H-M_alt 'I m m 2'
_space_group_IT_number 44
_space_group_name_Hall 'I 2 -2'
loop_
_atom_site_label
_atom_site_fract_x
_atom_site_fract_y
_atom_site_fract_z
Sr1 0.000 0.000 0.000
Al1 0.000 0.500 0.754
Zn1 0.000 0.000 0.612
Zn2 0.000 0.500 0.255
Pt1 0.000 0.000 0.379
```

Properties
V, Å³ per cell: 206.5
Energy of formation, eV/f.u.: -2.780
Total moment, μB per formula unit: 0.00

---

(7)
Density functional theory data (PBE) for a relaxed Ga4Ni15Sn crystal.

The structure in CIF format:
```
data_Ga4Ni15Sn
_cell_length_a 3.620
_cell_length_b 3.620
_cell_length_c 18.017
_cell_angle_alpha 90.00
_cell_angle_beta 90.00
_cell_angle_gamma 90.00
_space_group_name_H-M_alt 'P 4/m m m'
_space_group_IT_number 123
_space_group_name_Hall '-P 4 2'
loop_
_atom_site_label
_atom_site_fract_x
_atom_site_fract_y
_atom_site_fract_z
Ga1 0.000 0.000 0.098
Ga2 0.000 0.000 0.294
Ni1 0.000 0.500 0.000
Ni2 0.000 0.500 0.196
Ni3 0.000 0.500 0.392
Ni4 0.500 0.500 0.098
Ni5 0.500 0.500 0.295
Ni6 0.500 0.500 0.500
Sn1 0.000 0.000 0.500
```

Properties
V, Å³ per cell: 236.2
Energy of formation, eV/f.u.: -5.224
Total moment, μB per formula unit: 3.36

---

(8)
Density functional theory data (PBE) for a relaxed Cs2GeBSe4 crystal.

The structure in CIF format:
```
data_Cs2GeBSe4
_cell_length_a 6.151
_cell_length_b 14.552
_cell_length_c 25.529
_cell_angle_alpha 90.00
_cell_angle_beta 90.00
_cell_angle_gamma 90.00
_space_group_name_H-M_alt 'F d d d'
_space_group_IT_number 70
loop_
_space_group_symop_operation_xyz
'x,y,z'
'-x,-y,-z'
'-x+1/4,-y+1/4,z'
'x+1/4,y+1/4,-z'
'x,-y+1/4,-z+1/4'
'-x,y+1/4,z+1/4'
'-x+1/4,y,-z+1/4'
'x+1/4,-y,z+1/4'
'x,y+1/2,z+1/2'
'-x,-y+1/2,-z+1/2'
'-x+1/4,-y+3/4,z+1/2'
'x+1/4,y+3/4,-z+1/2'
'x,-y+3/4,-z+3/4'
'-x,y+3/4,z+3/4'
'-x+1/4,y+1/2,-z+3/4'
'x+1/4,-y+1/2,z+3/4'
'x+1/2,y,z+1/2'
'-x+1/2,-y,-z+1/2'
'-x+3/4,-y+1/4,z+1/2'
'x+3/4,y+1/4,-z+1/2'
'x+1/2,-y+1/4,-z+3/4'
'-x+1/2,y+1/4,z+3/4'
'-x+3/4,y,-z+3/4'
'x+3/4,-y,z+3/4'
'x+1/2,y+1/2,z'
'-x+1/2,-y+1/2,-z'
'-x+3/4,-y+3/4,z'
'x+3/4,y+3/4,-z'
'x+1/2,-y+3/4,-z+1/4'
'-x+1/2,y+3/4,z+1/4'
'-x+3/4,y+1/2,-z+1/4'
'x+3/4,-y+1/2,z+1/4'
loop_
_atom_site_label
_atom_site_fract_x
_atom_site_fract_y
_atom_site_fract_z
Cs1 0.125 0.125 0.304
Ge1 0.125 0.125 0.625
B1 0.125 0.125 0.125
Se1 0.074 0.292 0.423
```

Properties
Formation energy from raw total energies, meV per atom: -629
V, Å³ per cell: 2284.8
Total moment, μB per formula unit: 0.03

---

(9)
Density functional theory data (PBE) for a relaxed CaErLuSc crystal.

The structure in CIF format:
```
data_CaErLuSc
_cell_length_a 7.865
_cell_length_b 7.865
_cell_length_c 7.865
_cell_angle_alpha 90.00
_cell_angle_beta 90.00
_cell_angle_gamma 90.00
_space_group_name_H-M_alt 'F -4 3 m'
_space_group_IT_number 216
_space_group_name_Hall 'F -4 2 3'
loop_
_atom_site_label
_atom_site_fract_x
_atom_site_fract_y
_atom_site_fract_z
Ca1 0.000 0.000 0.000
Er1 0.250 0.250 0.750
Lu1 0.250 0.250 0.250
Sc1 0.000 0.000 0.500
```

Properties
V, Å³ per cell: 486.5
Energy of formation, eV/f.u.: 0.813
Total moment, μB per formula unit: 0.00

---

(10)
Density functional theory data (PBE) for a relaxed Li2Mg2ZnAg2 crystal.

The structure in CIF format:
```
data_Li2Mg2ZnAg2
_cell_length_a 4.6098
_cell_length_b 4.6098
_cell_length_c 19.7481
_cell_angle_alpha 90.00
_cell_angle_beta 90.00
_cell_angle_gamma 120.00
_space_group_name_H-M_alt 'R -3 m'
_space_group_IT_number 166
_space_group_name_Hall '-R 3 2"'
loop_
_atom_site_label
_atom_site_fract_x
_atom_site_fract_y
_atom_site_fract_z
Li1 0.0000 0.0000 0.0666
Mg1 0.0000 0.0000 0.2187
Zn1 0.0000 0.0000 0.5000
Ag1 0.0000 0.0000 0.3639
```

Properties
V, Å³ per cell: 363.4
Energy of formation, eV/f.u.: -1.289
Total moment, μB per formula unit: 0.00

---

(11)
Density functional theory data (PBE) for a relaxed Tb5Bi2Ru2 crystal.

The structure in CIF format:
```
data_Tb5Bi2Ru2
_cell_length_a 17.096
_cell_length_b 8.470
_cell_length_c 6.905
_cell_angle_alpha 90.00
_cell_angle_beta 90.00
_cell_angle_gamma 90.00
_space_group_name_H-M_alt 'I m a 2'
_space_group_IT_number 46
_space_group_name_Hall 'I 2 -2a'
loop_
_atom_site_label
_atom_site_fract_x
_atom_site_fract_y
_atom_site_fract_z
Tb1 0.038 0.205 0.000
Tb2 0.149 0.601 0.736
Tb3 0.250 0.206 0.638
Bi1 0.108 0.541 0.200
Ru1 0.000 0.000 0.305
Ru2 0.250 0.017 0.950
```

Properties
V, Å³ per cell: 999.9
Energy of formation, eV/f.u.: -3.272
Total moment, μB per formula unit: 0.00

---

(12)
Density functional theory data (PBE) for a relaxed RuPbAu2 crystal.

The structure in CIF format:
```
data_RuPbAu2
_cell_length_a 3.0633
_cell_length_b 3.0633
_cell_length_c 29.2703
_cell_angle_alpha 90.00
_cell_angle_beta 90.00
_cell_angle_gamma 120.00
_space_group_name_H-M_alt 'R -3 m'
_space_group_IT_number 166
_space_group_name_Hall '-R 3 2"'
loop_
_atom_site_label
_atom_site_fract_x
_atom_site_fract_y
_atom_site_fract_z
Ru1 0.0000 0.0000 0.0000
Pb1 0.0000 0.0000 0.5000
Au1 0.0000 0.0000 0.2590
```

Properties
V, Å³ per cell: 237.9
Energy of formation, eV/f.u.: 1.852
Total moment, μB per formula unit: 1.00